[1]
NaBi6Pd6: relaxed, PBE.

## Properties
The calculation puts the total energy at -4.558 eV per atom. Its energy relative to the elements is -0.268 eV per atom. Its space-group type is Immm (71). As for the crystal system: orthorhombic.

a b c (Å): 5.903 7.612 7.612
angles (deg): 77.78 67.19 67.19
Sites, in units of the cell vectors:
Pd: 0.500 0.500 0.000
Bi: 0.333 0.667 0.667
Bi: 0.000 0.332 0.668
Pd: 0.000 0.000 0.500
Pd: 0.500 0.251 0.749
Pd: 0.500 0.749 0.251
Na: 0.000 0.000 0.000
Pd: 0.500 0.000 0.500
Bi: 0.666 0.834 0.834
Bi: 0.334 0.166 0.166
Pd: 0.000 0.500 0.000
Bi: 0.000 0.668 0.332
Bi: 0.667 0.333 0.333

---

[2]
NaBiPd2: relaxed, PBE.

## Properties
The calculation puts the total energy at -4.125 eV per atom. Its energy relative to the elements is -0.228 eV per atom. Its space-group type is P2_1/m (11). As for the crystal system: monoclinic.

a b c (Å): 4.540 6.263 6.493
angles (deg): 90.00 90.00 111.57
Sites, in units of the cell vectors:
Pd: 0.384 0.768 0.962
Na: 0.063 0.127 0.750
Pd: 0.616 0.232 0.038
Pd: 0.616 0.232 0.462
Bi: 0.787 0.576 0.750
Na: 0.937 0.873 0.250
Bi: 0.213 0.424 0.250
Pd: 0.384 0.768 0.538

---

[3]
Na2Bi5Pd3: relaxed, PBE.

## Properties
The calculation puts the total energy at -4.074 eV per atom. Its energy relative to the elements is -0.312 eV per atom. Its space-group type is Cmc2_1 (36). The energy relative to the lowest polymorph listed for this composition comes out at 0 meV/atom. As for the crystal system: orthorhombic.

a b c (Å): 4.626 7.753 14.301
angles (deg): 90.00 99.31 90.00
Sites, in units of the cell vectors:
Pd: 0.051 0.985 0.101
Bi: 0.045 0.597 0.091
Pd: 0.395 0.010 0.791
Pd: 0.605 0.510 0.209
Pd: 0.949 0.485 0.899
Bi: 0.405 0.378 0.810
Bi: 0.292 0.504 0.583
Na: 0.525 0.262 0.049
Pd: 0.226 0.217 0.452
Bi: 0.955 0.097 0.909
Bi: 0.595 0.878 0.190
Na: 0.171 0.713 0.341
Na: 0.475 0.762 0.951
Bi: 0.118 0.267 0.236
Pd: 0.774 0.717 0.548
Na: 0.829 0.213 0.659
Bi: 0.705 0.432 0.409
Bi: 0.882 0.767 0.764
Bi: 0.708 0.004 0.417
Bi: 0.295 0.932 0.591

---

[4]
NaBi6Pd5: relaxed, PBE.

## Properties
The calculation puts the total energy at -4.436 eV per atom. Its energy relative to the elements is -0.222 eV per atom. Its space-group type is C2/m (12). As for the crystal system: monoclinic.

a b c (Å): 7.981 6.519 6.645
angles (deg): 60.63 82.10 73.72
Sites, in units of the cell vectors:
Pd: 0.000 0.698 0.603
Na: 0.000 0.000 0.000
Pd: 0.500 0.500 0.000
Bi: 0.227 0.318 0.000
Pd: 0.500 0.879 0.243
Bi: 0.773 0.682 0.000
Pd: 0.000 0.302 0.397
Bi: 0.290 0.900 0.612
Bi: 0.290 0.513 0.388
Bi: 0.710 0.100 0.388
Bi: 0.710 0.487 0.612
Pd: 0.500 0.121 0.757

---

[5]
NaBi4Pd: relaxed, PBE.

## Properties
The calculation puts the total energy at -3.808 eV per atom. Its energy relative to the elements is -0.135 eV per atom. Its space-group type is P-1 (2). As for the crystal system: triclinic.

a b c (Å): 5.152 8.102 9.361
angles (deg): 104.52 98.28 98.04
Sites, in units of the cell vectors:
Na: 0.173 0.285 0.946
Bi: 0.996 0.865 0.605
Bi: 0.747 0.373 0.192
Pd: 0.500 0.000 0.500
Bi: 0.253 0.627 0.808
Bi: 0.406 0.987 0.184
Na: 0.827 0.715 0.054
Bi: 0.004 0.135 0.395
Bi: 0.410 0.630 0.363
Bi: 0.594 0.013 0.816
Bi: 0.590 0.370 0.637
Pd: 0.000 0.500 0.500

---

[6]
Na2Bi5Pd2: relaxed, PBE.

## Properties
The calculation puts the total energy at -3.746 eV per atom. Its energy relative to the elements is -0.142 eV per atom. Its space-group type is Ima2 (46). As for the crystal system: orthorhombic.

a b c (Å): 9.878 6.300 9.947
angles (deg): 108.46 119.77 90.00
Sites, in units of the cell vectors:
Pd: 0.199 0.121 0.500
Bi: 0.799 0.834 0.099
Bi: 0.073 0.534 0.500
Pd: 0.500 0.548 0.000
Bi: 0.201 0.735 0.901
Pd: 0.801 0.621 0.500
Bi: 0.698 0.862 0.711
Bi: 0.302 0.152 0.289
Bi: 0.801 0.334 0.099
Bi: 0.199 0.235 0.901
Pd: 0.000 0.048 0.000
Na: 0.141 0.640 0.230
Bi: 0.512 0.362 0.711
Bi: 0.488 0.652 0.289
Na: 0.589 0.140 0.230
Na: 0.411 0.910 0.770
Bi: 0.927 0.034 0.500
Na: 0.859 0.410 0.770

---

[7]
Na2Bi4Pd5: relaxed, PBE.

## Properties
The calculation puts the total energy at -4.251 eV per atom. Its energy relative to the elements is -0.239 eV per atom. Its space-group type is Fmmm (69). As for the crystal system: orthorhombic.

a b c (Å): 5.854 6.048 9.303
angles (deg): 81.24 71.66 61.05
Sites, in units of the cell vectors:
Pd: 0.500 0.500 0.000
Bi: 0.213 0.321 0.254
Pd: 0.000 0.500 0.000
Pd: 0.250 0.500 0.500
Bi: 0.534 0.679 0.254
Na: 0.092 0.000 0.816
Pd: 0.500 0.000 0.000
Pd: 0.750 0.500 0.500
Bi: 0.787 0.679 0.746
Bi: 0.466 0.321 0.746
Na: 0.908 0.000 0.184

---

[8]
NaBi2Pd2: relaxed, PBE.

## Properties
The calculation puts the total energy at -4.143 eV per atom. Its energy relative to the elements is -0.250 eV per atom. Its space-group type is P4/mbm (127). The energy relative to the lowest polymorph listed for this composition comes out at 55 meV/atom. As for the crystal system: tetragonal.

a b c (Å): 8.386 8.386 3.308
angles (deg): 90.00 90.00 90.00
Sites, in units of the cell vectors:
Pd: 0.360 0.140 0.500
Bi: 0.651 0.151 0.000
Pd: 0.140 0.640 0.500
Bi: 0.349 0.849 0.000
Bi: 0.151 0.349 0.000
Na: 0.000 0.000 0.000
Pd: 0.640 0.860 0.500
Pd: 0.860 0.360 0.500
Na: 0.500 0.500 0.000
Bi: 0.849 0.651 0.000

---

[9]
Na2Bi3Pd8: relaxed, PBE.

## Properties
The calculation puts the total energy at -4.340 eV per atom. Its energy relative to the elements is -0.046 eV per atom. Its space-group type is R-3m (166). As for the crystal system: trigonal.

a b c (Å): 5.375 5.375 10.924
angles (deg): 75.76 75.76 60.00
Sites, in units of the cell vectors:
Pd: 0.276 0.276 0.173
Na: 0.637 0.637 0.088
Bi: 0.810 0.810 0.570
Bi: 0.000 0.000 0.000
Pd: 0.730 0.730 0.313
Pd: 0.270 0.773 0.687
Pd: 0.773 0.270 0.687
Pd: 0.270 0.270 0.687
Pd: 0.724 0.724 0.827
Pd: 0.730 0.227 0.313
Pd: 0.227 0.730 0.313
Bi: 0.190 0.190 0.430
Na: 0.363 0.363 0.912

---

[10]
Na3Bi5Pd2: relaxed, PBE.

## Properties
The calculation puts the total energy at -3.683 eV per atom. Its energy relative to the elements is -0.308 eV per atom. Its space-group type is P4/mbm (127). As for the crystal system: tetragonal.

a b c (Å): 4.409 11.147 11.147
angles (deg): 90.00 90.00 90.00
Sites, in units of the cell vectors:
Bi: 0.500 0.925 0.212
Na: 0.000 0.334 0.834
Bi: 0.500 0.075 0.788
Bi: 0.500 0.575 0.712
Bi: 0.500 0.288 0.575
Pd: 0.000 0.640 0.860
Bi: 0.500 0.500 0.000
Pd: 0.000 0.140 0.640
Bi: 0.500 0.712 0.425
Bi: 0.500 0.425 0.288
Pd: 0.000 0.860 0.360
Bi: 0.500 0.212 0.075
Na: 0.000 0.666 0.166
Na: 0.000 0.000 0.000
Na: 0.000 0.500 0.500
Na: 0.000 0.834 0.666
Bi: 0.500 0.000 0.500
Pd: 0.000 0.360 0.140
Na: 0.000 0.166 0.334
Bi: 0.500 0.788 0.925

---

[11]
NaBi2Pd: relaxed, PBE.

## Properties
The calculation puts the total energy at -3.809 eV per atom. Its energy relative to the elements is -0.240 eV per atom. Its space-group type is P4/mmm (123). The energy relative to the lowest polymorph listed for this composition comes out at 73 meV/atom. As for the crystal system: tetragonal.

a b c (Å): 3.450 3.450 8.607
angles (deg): 90.00 90.00 90.00
Sites, in units of the cell vectors:
Bi: 0.000 0.000 0.207
Pd: 0.500 0.500 0.000
Bi: 0.000 0.000 0.793
Na: 0.500 0.500 0.500

---

[12]
NaBi4Pd15: relaxed, PBE.

## Properties
The calculation puts the total energy at -4.948 eV per atom. Its energy relative to the elements is -0.211 eV per atom. Its space-group type is P4/mmm (123). As for the crystal system: tetragonal.

a b c (Å): 4.134 4.134 20.381
angles (deg): 90.00 90.00 90.00
Sites, in units of the cell vectors:
Pd: 0.500 0.000 0.097
Pd: 0.500 0.000 0.500
Pd: 0.500 0.500 0.799
Bi: 0.000 0.000 0.810
Pd: 0.500 0.500 0.600
Pd: 0.500 0.000 0.702
Na: 0.000 0.000 0.000
Pd: 0.500 0.500 0.400
Pd: 0.500 0.500 0.201
Pd: 0.000 0.500 0.903
Bi: 0.000 0.000 0.190
Pd: 0.000 0.500 0.097
Pd: 0.000 0.500 0.702
Bi: 0.000 0.000 0.602
Pd: 0.500 0.500 0.000
Pd: 0.500 0.000 0.903
Pd: 0.000 0.500 0.500
Pd: 0.500 0.000 0.298
Bi: 0.000 0.000 0.398
Pd: 0.000 0.500 0.298

---

Which formula does entry 5 have?
NaBi4Pd

---

Among the records above, which one has the highest energy relative to the elements?
Na2Bi3Pd8

---

Number 8 is which compound?
NaBi2Pd2

---

energy relative to the elements of number 6 (Na2Bi5Pd2)?
-0.142 eV per atom